Computed, not measured: a geometry-optimized Ta4Ni11 structure at the PBE-GGA level of DFT.

The space group is P4_2/mnm (No. 136) and the conventional cell measures 8.730, 8.730 and 5.065 Å, with angles of 90.00, 90.00 and 90.00 degrees. The inequivalent atoms are Ta at (0.183, 0.183, 0.249), Ni at (0.000, 0.000, 0.500), Ni at (0.037, 0.632, 0.000), Ni at (0.065, 0.735, 0.500) and Ni at (0.099, 0.901, 0.000).

The calculation puts the total energy at -218.39 eV for the cell shown. Its crystal system is tetragonal.